Entry 1:
The following is a DFT calculation (PBE) of crystalline La2CdNi3Sn4 at its relaxed geometry.

```
10
Lattice="-2.4166 3.7780 -0.6064 -0.1300 -0.7979 -4.4529 -9.0972 -5.6149 1.2716" Properties=species:S:1:pos:R:3 pbc="T T T"
Sn -3.2537 -2.3671 -1.7807
Ni -9.2423 -3.0696 0.8198
Sn -1.2733 1.4901 -2.5297
Sn 0.0000 0.0000 0.0000
Ni -1.1282 -1.0552 -2.0778
Cd -5.8219 -1.3174 -1.8938
Ni -4.5486 -2.8075 0.6358
Sn -7.1168 -1.7578 0.5227
La -6.9486 -4.6476 -1.2642
La -3.4220 0.5227 0.0062
```

Results
Formation enthalpy at 0 K in eV per atom: -0.516
Total magnetic moment in μB/f.u.: 0.00

***

Entry 2:
The following is a DFT calculation (PBE) of crystalline La2CdNi4Sn3 at its relaxed geometry.

```
10
Lattice="-2.1536 0.3117 -3.9423 0.2400 -4.4704 -0.4846 -8.9475 -1.0017 4.8085" Properties=species:S:1:pos:R:3 pbc="T T T"
La -6.6983 -2.9985 3.4220
Sn -8.9198 -0.7222 2.2438
Ni 0.0000 0.0000 0.0000
Ni -0.9568 -2.0793 -2.2135
Ni -6.7195 -0.4759 1.0613
Sn -0.9844 -2.3588 0.3512
La -3.2060 -0.0825 -0.8269
Cd -5.4305 -2.5802 0.1908
Sn -4.4737 -0.5009 2.4043
Ni -3.1848 -2.6052 1.5337
```

Results
Formation enthalpy at 0 K in eV per atom: -0.484
Total magnetic moment in μB/f.u.: 0.00

***

Entry 3:
The following is a DFT calculation (PBE) of crystalline La2CdNiSn at its relaxed geometry.

```
5
Lattice="-4.0667 -2.3419 2.7646 3.6232 -2.6135 3.1158 -0.0117 3.7171 3.1315" Properties=species:S:1:pos:R:3 pbc="T T T"
Sn -0.0059 1.8585 1.5657
Cd -0.2277 -0.6191 4.5059
La 1.8116 -1.3068 1.5579
La -2.0334 -1.1709 1.3823
Ni 0.0000 0.0000 0.0000
```

Results
Offset from the most stable computed form in meV/atom: 37
Formation enthalpy at 0 K in eV per atom: -0.376
Total magnetic moment in μB/f.u.: 0.00

***

Entry 4:
The following is a DFT calculation (PBE) of crystalline SrLaCd2Ni at its relaxed geometry.

```
5
Lattice="5.3140 0.0000 0.0000 0.0000 5.3140 0.0000 0.0000 0.0000 5.0004" Properties=species:S:1:pos:R:3 pbc="T T T"
Ni 0.0000 0.0000 0.0000
Cd 2.6570 0.0000 0.0000
La 0.0000 0.0000 2.5002
Cd 0.0000 2.6570 0.0000
Sr 2.6570 2.6570 2.5002
```

Results
Formation enthalpy at 0 K in eV per atom: -0.230
Total magnetic moment in μB/f.u.: 0.00

***

- formation enthalpy at 0 K of number 3 (La2CdNiSn)?
  -0.376 eV per atom

***

- The highest formation enthalpy at 0 K belongs to which entry?
  SrLaCd2Ni

***

Repeat the fourth record exactly.
The following is a DFT calculation (PBE) of crystalline SrLaCd2Ni at its relaxed geometry.

```
5
Lattice="5.3140 0.0000 0.0000 0.0000 5.3140 0.0000 0.0000 0.0000 5.0004" Properties=species:S:1:pos:R:3 pbc="T T T"
Ni 0.0000 0.0000 0.0000
Cd 2.6570 0.0000 0.0000
La 0.0000 0.0000 2.5002
Cd 0.0000 2.6570 0.0000
Sr 2.6570 2.6570 2.5002
```

Results
Formation enthalpy at 0 K in eV per atom: -0.230
Total magnetic moment in μB/f.u.: 0.00